Compound: HfZr2CuN
Source: the Alexandria database
Functional: PBE
Structure: optimized geometry

Values from the calculation:
SG = No. 123
V = 17.21 Å³ per atom

abc: 4.4444 4.4444 4.3555
angles: 90.00 90.00 90.00
Atoms (fractional coordinates):
Zr 0.5000 0.0000 0.0000
Zr 0.0000 0.5000 0.0000
Cu 0.5000 0.5000 0.5000
Hf 0.0000 0.0000 0.5000
N 0.0000 0.0000 0.0000

***

Compound: TlRh2Au
Source: the Alexandria database
Functional: PBE
Structure: optimized geometry

Values from the calculation:
SG = No. 8
V = 17.20 Å³ per atom
Energy of formation from the pure elements = 0.77 eV per formula unit

abc: 5.0370 5.0370 4.8466
angles: 78.42 78.42 34.92
Atoms (fractional coordinates):
Rh 0.2571 0.2571 0.2527
Rh 0.9925 0.9925 0.9930
Au 0.7438 0.7438 0.7740
Tl 0.5065 0.5065 0.4803

***

Compound: Cu2RhBr5
Source: the Alexandria database
Functional: PBE
Structure: optimized geometry

Values from the calculation:
SG = No. 1
V = 28.52 Å³ per atom

abc: 5.2566 7.4101 6.8859
angles: 76.87 68.78 66.48
Each line ends with the local moment (μB).
Atoms (fractional coordinates):
Cu 0.6146 0.0355 0.6350  0.05
Cu 0.5306 0.5746 0.9835  0.10
Br 0.8010 0.2250 0.3464  0.02
Br 0.3196 0.8366 0.7115  0.03
Br 0.9769 0.3603 0.8075  0.01
Br 0.1224 0.7088 0.2594  0.01
Br 0.5900 0.0023 0.9990  0.01
Rh 0.0448 0.0340 0.0347  0.01

***

Compound: Nd2TiAs3Pt4
Source: the Alexandria database
Functional: PBE
Structure: optimized geometry

Values from the calculation:
SG = No. 115
V = 19.61 Å³ per atom
Energy of formation from the pure elements = -9.08 eV per formula unit

abc: 4.2673 4.2673 10.7687
angles: 90.00 90.00 90.00
Atoms (fractional coordinates):
Pt 0.5000 0.5000 0.0000
Pt 0.0000 0.5000 0.3669
Pt 0.0000 0.0000 0.0000
Pt 0.5000 0.0000 0.6331
As 0.0000 0.0000 0.5000
As 0.0000 0.5000 0.1372
As 0.5000 0.0000 0.8628
Nd 0.0000 0.5000 0.7696
Nd 0.5000 0.0000 0.2304
Ti 0.5000 0.5000 0.5000

***

Compound: La4GaSeBr2
Source: the Alexandria database
Functional: PBE
Structure: optimized geometry

Values from the calculation:
SG = No. 10
V = 30.16 Å³ per atom

abc: 4.4266 7.6981 7.5247
angles: 70.22 90.00 90.00
Atoms (fractional coordinates):
La 0.5000 0.7240 0.2563
La 0.0000 0.7257 0.7600
La 0.5000 0.2760 0.7437
La 0.0000 0.2743 0.2400
Br 0.5000 0.0000 0.5000
Br 0.0000 0.0000 0.0000
Se 0.0000 0.5000 0.5000
Ga 0.5000 0.5000 0.0000

***

Compound: NaLiSbS3
Source: the Alexandria database
Functional: PBE
Structure: optimized geometry

Values from the calculation:
SG = No. 11
V = 22.68 Å³ per atom

abc: 3.8168 10.1133 7.2642
angles: 103.92 90.00 90.00
Atoms (fractional coordinates):
S 0.7500 0.8121 0.0279
S 0.2500 0.1879 0.9721
S 0.7500 0.5079 0.2343
S 0.2500 0.8222 0.4710
S 0.7500 0.1778 0.5290
S 0.2500 0.4921 0.7657
Li 0.7500 0.9320 0.3623
Li 0.2500 0.0680 0.6377
Na 0.7500 0.6804 0.6342
Na 0.2500 0.3196 0.3658
Sb 0.7500 0.3287 0.8618
Sb 0.2500 0.6713 0.1382

***

Compound: AcHfZn
Source: the Alexandria database
Functional: PBE
Structure: optimized geometry

Values from the calculation:
SG = No. 123
V = 26.30 Å³ per atom
Energy of formation from the pure elements = 0.21 eV per formula unit

abc: 5.0344 3.5613 12.4431
angles: 90.00 90.00 134.98
Atoms (fractional coordinates):
Zn 0.1943 0.3885 0.5000
Zn 0.6945 0.3891 0.0000
Ac 0.6944 0.3888 0.6796
Ac 0.6944 0.3888 0.3204
Hf 0.1945 0.3890 0.1202
Hf 0.1945 0.3890 0.8798

***

Compound: UCoTc2C
Source: the Alexandria database
Functional: PBE
Structure: optimized geometry

Values from the calculation:
SG = No. 123
V = 13.70 Å³ per atom
Energy of formation from the pure elements = -0.50 eV per formula unit

abc: 3.8572 4.2144 4.2144
angles: 90.00 90.00 90.00
Each line ends with the local moment (μB).
Atoms (fractional coordinates):
Tc 0.0000 0.0000 0.5000  -0.05
Tc 0.0000 0.5000 0.0000  -0.05
C 0.0000 0.0000 0.0000  0.01
Co 0.5000 0.0000 0.0000  0.19
U 0.5000 0.5000 0.5000  0.52

***

no.,calculated total energy (eV per formula unit)
1,-42.9
2,-19.6
3,-26.0
4,-64.6
5,-40.2
6,-24.0
7,-15.1
8,-48.9